(1)
MgMo2N | the Alexandria database | PBE | relaxed; energy above the most stable polymorph in this dataset = 0.0 meV per atom; formation energy from raw total energies = 0.64 eV/f.u.; volume = 112 Å³ per cell; uncorrected energy = -7.74 eV per atom
1.0
-6.9748 0.1076 -1.1805
0.8570 -4.4095 -5.4658
-3.3181 -3.9019 -1.9512
N Mg Mo
2 2 4
Direct
0.5000 0.5000 0.0000
0.2500 0.7500 0.5000
0.7500 0.2500 0.5000
0.0000 0.0000 0.0000
0.8750 0.7690 0.7500
0.5190 0.1250 0.2500
0.2310 0.6250 0.2500
0.3750 0.4810 0.7500

=====

(2)
Mg2MoN3 | the Alexandria database | PBE | relaxed; formation energy from raw total energies = -4.21 eV/f.u.; volume = 144 Å³ per cell; uncorrected energy = -7.20 eV per atom
1.0
3.0752 -5.4245 0.0000
3.0752 5.4245 0.0000
0.0000 0.0000 4.3271
N Mg Mo
6 4 2
Direct
0.3407 0.0318 0.2500
0.6593 0.9682 0.7500
0.9682 0.6593 0.7500
0.0318 0.3407 0.2500
0.6666 0.6666 0.2500
0.3334 0.3334 0.7500
0.0082 0.6705 0.2500
0.9918 0.3295 0.7500
0.6705 0.0082 0.2500
0.3295 0.9918 0.7500
0.3404 0.3404 0.2500
0.6596 0.6596 0.7500

=====

(3)
MgMo2N | the Alexandria database | PBE | relaxed; energy above the most stable polymorph in this dataset = 1332.7 meV per atom; formation energy from raw total energies = 5.97 eV/f.u.; volume = 55 Å³ per cell; uncorrected energy = -6.40 eV per atom
1.0
0.0000 3.0138 3.0138
3.0138 0.0000 3.0138
3.0138 3.0138 0.0000
Mg Mo N
1 2 1
Direct
0.5000 0.5000 0.5000
0.2500 0.2500 0.2500
0.7500 0.7500 0.7500
0.0000 0.0000 0.0000

=====

(4)
Mg5Mo3N12 | the Alexandria database | PBE | relaxed; formation energy from raw total energies = 3.87 eV/f.u.; volume = 973 Å³ per cell; uncorrected energy = -6.82 eV per atom
1.0
-10.1772 -1.3152 -3.4111
2.3523 -7.5893 7.3355
1.0666 9.7883 4.4712
Mg N Mo
20 48 12
Direct
0.5000 0.5000 0.5000
0.2500 0.3750 0.6250
0.3750 0.2500 0.1250
0.6250 0.7500 0.8750
0.0000 0.5000 0.5000
0.5000 0.0000 0.0000
0.5000 0.5000 0.0000
0.0000 0.5000 0.0000
0.8750 0.2500 0.6250
0.1250 0.3750 0.2500
0.0000 0.0000 0.0000
0.7500 0.6250 0.3750
0.7500 0.1250 0.8750
0.8750 0.6250 0.7500
0.5000 0.0000 0.5000
0.6250 0.8750 0.2500
0.0000 0.0000 0.5000
0.3750 0.1250 0.7500
0.2500 0.8750 0.1250
0.1250 0.7500 0.3750
0.6161 0.8273 0.4134
0.4139 0.7027 0.0866
0.3273 0.4134 0.1161
0.7027 0.2888 0.6161
0.8839 0.0866 0.6727
0.9139 0.3273 0.2112
0.3273 0.9139 0.7112
0.5861 0.2888 0.1727
0.0866 0.8839 0.1727
0.3839 0.1727 0.5866
0.5866 0.9139 0.7027
0.7027 0.4139 0.5866
0.2112 0.3839 0.7973
0.0861 0.4134 0.7973
0.5861 0.2973 0.9134
0.2888 0.7027 0.1161
0.0866 0.2027 0.4139
0.2973 0.5861 0.4134
0.1161 0.9134 0.3273
0.2027 0.1161 0.7888
0.8273 0.6161 0.9134
0.1727 0.3839 0.0866
0.1161 0.2027 0.2888
0.7112 0.4139 0.3273
0.6161 0.7888 0.7027
0.2112 0.8273 0.9139
0.0861 0.6727 0.7888
0.7112 0.2973 0.8839
0.2027 0.0866 0.9139
0.8839 0.7973 0.7112
0.3839 0.2112 0.2973
0.1727 0.7888 0.5861
0.9134 0.7973 0.5861
0.6727 0.0861 0.2888
0.7888 0.1727 0.0861
0.2888 0.5861 0.6727
0.2973 0.7112 0.3839
0.4134 0.3273 0.6161
0.5866 0.6727 0.3839
0.9139 0.5866 0.2027
0.6727 0.5866 0.8839
0.7973 0.9134 0.0861
0.4139 0.7112 0.8273
0.8273 0.2112 0.4139
0.7888 0.6161 0.2027
0.9134 0.1161 0.8273
0.4134 0.0861 0.2973
0.7973 0.8839 0.2112
0.2500 0.6250 0.8750
0.1250 0.2500 0.8750
0.3750 0.6250 0.2500
0.6250 0.2500 0.3750
0.8750 0.1250 0.2500
0.7500 0.3750 0.1250
0.8750 0.7500 0.1250
0.3750 0.7500 0.6250
0.7500 0.8750 0.6250
0.1250 0.8750 0.7500
0.6250 0.3750 0.7500
0.2500 0.1250 0.3750

=====

(5)
MgMo2N3 | the Alexandria database | PBE | relaxed; formation energy from raw total energies = -1.85 eV/f.u.; volume = 151 Å³ per cell; uncorrected energy = -8.35 eV per atom
1.0
5.5632 0.0000 0.0000
0.0000 4.9060 -2.9071
0.0000 -0.2489 5.6972
N Mg Mo
6 2 4
Direct
0.6588 0.3532 0.0346
0.1023 0.2708 0.2708
0.1588 0.6468 0.9654
0.1588 0.9654 0.6468
0.6023 0.7292 0.7292
0.6588 0.0346 0.3532
0.4726 0.3606 0.3606
0.9726 0.6394 0.6394
0.0098 0.3361 0.9716
0.5098 0.0284 0.6639
0.5098 0.6639 0.0284
0.0098 0.9716 0.3361

=====

(6)
Mg2MoN2 | the Alexandria database | PBE | relaxed; energy above the most stable polymorph in this dataset = 139.9 meV per atom; formation energy from raw total energies = 3.94 eV/f.u.; volume = 113 Å³ per cell; uncorrected energy = -5.35 eV per atom
1.0
6.3837 0.0000 0.0000
0.0000 6.3837 0.0000
0.0000 0.0000 2.7648
N Mg Mo
4 4 2
Direct
0.8233 0.3233 0.5000
0.3233 0.1767 0.5000
0.1767 0.6767 0.5000
0.6767 0.8233 0.5000
0.8672 0.6328 0.0000
0.6328 0.1328 0.0000
0.3672 0.8672 0.0000
0.1328 0.3672 0.0000
0.0000 0.0000 0.0000
0.5000 0.5000 0.0000

=====

(7)
MgMoN2 | the Alexandria database | PBE | relaxed; formation energy from raw total energies = -0.29 eV/f.u.; volume = 51 Å³ per cell; uncorrected energy = -7.34 eV per atom
1.0
1.7425 0.0000 6.4557
-0.8713 1.5091 6.4557
-0.8713 -1.5091 6.4557
Mg N Mo
1 2 1
Direct
0.0000 0.0000 0.0000
0.8938 0.8938 0.8938
0.1062 0.1062 0.1062
0.5000 0.5000 0.5000

=====

(8)
MgMoN2 | the Alexandria database | PBE | relaxed; formation energy from raw total energies = -2.53 eV/f.u.; volume = 40 Å³ per cell; uncorrected energy = -7.90 eV per atom
1.0
-0.1171 2.1210 2.0832
-2.6053 0.7228 1.2416
-0.1335 -2.6708 4.8323
Mo N Mg
1 2 1
Direct
0.0000 0.0000 0.0000
0.2512 0.2512 0.2465
0.7488 0.7488 0.7535
0.5000 0.5000 0.5000

=====

(9)
Mg3MoN4 | the Alexandria database | PBE | relaxed; energy above the most stable polymorph in this dataset = 34.9 meV per atom; formation energy from raw total energies = -6.23 eV/f.u.; volume = 201 Å³ per cell; uncorrected energy = -6.89 eV per atom
1.0
-5.1881 -1.8167 2.0083
-2.6087 -2.3871 -4.6633
2.4881 -5.3414 1.4186
N Mg Mo
8 6 2
Direct
0.3535 0.3535 0.3671
0.3988 0.8475 0.1796
0.1227 0.1227 0.6841
0.8773 0.8773 0.3159
0.6465 0.6465 0.6329
0.6012 0.1525 0.8204
0.8475 0.3988 0.1796
0.1525 0.6012 0.8204
0.8468 0.3851 0.8309
0.8866 0.8866 0.6770
0.6149 0.1532 0.1691
0.3851 0.8468 0.8309
0.1532 0.6149 0.1691
0.1134 0.1134 0.3230
0.3282 0.3282 0.6712
0.6718 0.6718 0.3288

=====

(10)
MgMoN2 | the Alexandria database | PBE | relaxed; formation energy from raw total energies = -2.03 eV/f.u.; volume = 41 Å³ per cell; uncorrected energy = -7.78 eV per atom
1.0
-2.8371 -0.4605 0.6802
-1.1935 -2.6753 -0.3766
0.0969 -2.4041 5.1889
Mo N Mg
1 2 1
Direct
0.6679 0.6679 0.9962
0.2544 0.2544 0.2369
0.0810 0.0810 0.7570
0.4967 0.4967 0.5099

=====

(11)
MgMo2N | the Alexandria database | PBE | relaxed; energy above the most stable polymorph in this dataset = 118.0 meV per atom; formation energy from raw total energies = 1.11 eV/f.u.; volume = 59 Å³ per cell; uncorrected energy = -7.62 eV per atom
1.0
-2.4851 1.4242 -0.2085
-1.5952 -0.2360 -2.3763
-5.3157 -6.0240 2.4313
Mo N Mg
2 1 1
Direct
0.8893 0.8893 0.3320
0.1107 0.1107 0.6680
0.5000 0.5000 0.5000
0.0000 0.0000 0.0000

=====

(12)
Mg3MoN4 | the Alexandria database | PBE | relaxed; energy above the most stable polymorph in this dataset = 0.0 meV per atom; formation energy from raw total energies = -6.50 eV/f.u.; volume = 210 Å³ per cell; uncorrected energy = -6.93 eV per atom
1.0
-2.7390 -2.2655 5.7697
-4.4900 -2.2552 -3.0170
2.6432 -4.5508 -0.5321
N Mo Mg
8 2 6
Direct
0.2689 0.8230 0.9570
0.2311 0.1770 0.4570
0.0000 0.3265 0.9972
0.0000 0.6355 0.4564
0.7689 0.1770 0.4570
0.5000 0.6735 0.4972
0.5000 0.3645 0.9564
0.7311 0.8230 0.9570
0.5000 0.6709 0.8494
0.0000 0.3291 0.3494
0.2477 0.8307 0.3572
0.0000 0.6606 0.8581
0.2523 0.1693 0.8572
0.7477 0.1693 0.8572
0.5000 0.3394 0.3581
0.7523 0.8307 0.3572

=====

no.,total magnetic moment (Bohr magnetons per cell)
1,0.0
2,0.0
3,0.0
4,0.0
5,0.0
6,0.0
7,0.0
8,0.0
9,0.0
10,0.0
11,0.0
12,0.0